Record 1
Density functional theory data (PBE) for a relaxed Pm3Ga5Si2 crystal.

Cell and atoms, written as CIF:
```
data_Pm3Ga5Si2
_chemical_formula_sum 'Pm12 Ga20 Si8'
_symmetry_space_group_name_H-M 'I b a m'
_symmetry_Int_Tables_number 72
_symmetry_space_group_name_Hall '-I 2 2c'
_cell_length_a 11.637
_cell_length_b 12.306
_cell_length_c 6.068
_cell_angle_alpha 90.00
_cell_angle_beta 90.00
_cell_angle_gamma 90.00
loop_
_atom_site_label
_atom_site_type_symbol
_atom_site_fract_x
_atom_site_fract_y
_atom_site_fract_z
_atom_site_occupancy
Pm1 Pm 0.000 0.000 0.250 1
Pm2 Pm 0.237 0.377 0.000 1
Ga1 Ga 0.000 0.246 0.250 1
Ga2 Ga 0.000 0.500 0.250 1
Ga3 Ga 0.128 0.372 0.500 1
Si1 Si 0.163 0.133 0.000 1
```

Fermi-level density of states   19.40 states/eV per cell
ΔE_f (raw)   -0.361 eV/atom
Crystal system   orthorhombic
Final energy   -4.385 eV/atom

Record 2
Density functional theory data (PBE) for a relaxed Pm10Ga3Si3 crystal.

Cell and atoms, written as CIF:
```
data_Pm10Ga3Si3
_chemical_formula_sum 'Pm10 Ga3 Si3'
_symmetry_space_group_name_H-M 'P -6 2 m'
_symmetry_Int_Tables_number 189
_symmetry_space_group_name_Hall 'P -6 -2'
_cell_length_a 8.7288
_cell_length_b 8.7288
_cell_length_c 6.7593
_cell_angle_alpha 90.00
_cell_angle_beta 90.00
_cell_angle_gamma 120.00
loop_
_atom_site_label
_atom_site_type_symbol
_atom_site_fract_x
_atom_site_fract_y
_atom_site_fract_z
_atom_site_occupancy
Pm1 Pm 0.0000 0.2476 0.0000 1
Pm2 Pm 0.0000 0.7575 0.5000 1
Pm3 Pm 0.3333 0.6667 0.2461 1
Ga1 Ga 0.0000 0.4022 0.5000 1
Si1 Si 0.0000 0.6067 0.0000 1
```

Fermi-level density of states   17.04 states/eV per cell
ΔE_f (raw)   -0.503 eV/atom
Crystal system   hexagonal
Final energy   -5.056 eV/atom

Record 3
Density functional theory data (PBE) for a relaxed Pm3GaSi2 crystal.

Cell and atoms, written as CIF:
```
data_Pm3GaSi2
_chemical_formula_sum 'Pm12 Ga4 Si8'
_symmetry_space_group_name_H-M 'P n m a'
_symmetry_Int_Tables_number 62
_symmetry_space_group_name_Hall '-P 2ac 2n'
_cell_length_a 11.821
_cell_length_b 4.200
_cell_length_c 11.912
_cell_angle_alpha 90.00
_cell_angle_beta 90.00
_cell_angle_gamma 90.00
loop_
_atom_site_label
_atom_site_type_symbol
_atom_site_fract_x
_atom_site_fract_y
_atom_site_fract_z
_atom_site_occupancy
Pm1 Pm 0.059 0.250 0.120 1
Pm2 Pm 0.123 0.750 0.561 1
Pm3 Pm 0.199 0.250 0.800 1
Ga1 Ga 0.135 0.250 0.366 1
Si1 Si 0.024 0.750 0.316 1
Si2 Si 0.189 0.750 0.992 1
```

Fermi-level density of states   15.96 states/eV per cell
Distance to the lowest polymorph of the same formula   0 meV per atom
ΔE_f (raw)   -0.663 eV/atom
Crystal system   orthorhombic
Final energy   -5.351 eV/atom

Record 4
Density functional theory data (PBE) for a relaxed Pm4Ga2Si5 crystal.

Cell and atoms, written as CIF:
```
data_Pm4Ga2Si5
_chemical_formula_sum 'Pm4 Ga2 Si5'
_symmetry_space_group_name_H-M 'P 1 2/m 1'
_symmetry_Int_Tables_number 10
_symmetry_space_group_name_Hall '-P 2y'
_cell_length_a 6.893
_cell_length_b 4.317
_cell_length_c 7.992
_cell_angle_alpha 90.00
_cell_angle_beta 91.00
_cell_angle_gamma 90.00
loop_
_atom_site_label
_atom_site_type_symbol
_atom_site_fract_x
_atom_site_fract_y
_atom_site_fract_z
_atom_site_occupancy
Pm1 Pm 0.239 0.000 0.129 1
Pm2 Pm 0.254 0.000 0.626 1
Ga1 Ga 0.089 0.500 0.370 1
Si1 Si 0.113 0.500 0.886 1
Si2 Si 0.443 0.500 0.352 1
Si3 Si 0.500 0.500 0.000 1
```

Fermi-level density of states   3.48 states/eV per cell
ΔE_f (raw)   -0.658 eV/atom
Crystal system   monoclinic
Final energy   -5.401 eV/atom

> Which of these has the lowest Fermi-level density of states?

Pm4Ga2Si5

> Among the records above, which one has the highest Fermi-level density of states?

Pm3Ga5Si2